The following is a DFT calculation (PBEsol) of Fe2CuAs after structural relaxation.

Geometry as POSCAR:
```
Fe2CuAs
1.0
3.082 0.000 0.000
0.000 3.082 0.000
0.000 0.000 5.132
Fe Cu As
2 1 1
Cartesian
0.000 0.000 0.000
1.541 1.541 1.237
1.541 1.541 3.890
0.000 0.000 2.492
```

## Properties
- space-group type = P4mm (99)
- ΔE_f (kJ/mol of formula units) = 37
- DFT total energy (eV/atom) = -6.746

The following is a DFT calculation (PBEsol) of BaLi2Co after structural relaxation.

Geometry as POSCAR:
```
BaLi2Co
1.0
2.781 -4.647 0.000
2.781 4.647 0.000
0.000 0.000 3.100
Ba Li Co
1 2 1
Cartesian
0.000 0.000 0.000
1.391 2.324 1.550
1.391 -2.324 1.550
2.781 0.000 0.000
```

## Properties
- space-group type = Cmmm (65)
- ΔE_f (kJ/mol of formula units) = 255
- DFT total energy (eV/atom) = -2.794

The following is a DFT calculation (PBEsol) of LiY2SbRu after structural relaxation.

Geometry as POSCAR:
```
LiY2SbRu
1.0
4.958 0.000 0.000
0.000 4.958 0.000
0.000 0.000 4.361
Li Y Sb Ru
1 2 1 1
Cartesian
0.000 0.000 0.000
0.000 2.479 0.000
2.479 0.000 0.000
0.000 0.000 2.180
2.479 2.479 2.180
```

## Properties
- space-group type = P4/mmm (123)
- DFT total energy (eV/atom) = -5.647
- energy relative to the elements, uncorrected (eV/atom) = 0.421

The following is a DFT calculation (PBEsol) of Sm9AlSi3S21 after structural relaxation.

Geometry as POSCAR:
```
Sm9AlSi3S21
1.0
8.581 4.954 5.614
-8.581 4.954 5.614
0.000 -9.908 5.614
Sm Al Si S
18 2 6 42
Cartesian
-1.044 -7.115 5.614
-6.550 -2.518 8.517
-7.412 2.022 8.381
-1.988 -2.465 5.700
-5.640 4.462 5.614
-2.937 0.507 8.435
1.955 -7.430 8.381
-1.141 2.954 5.700
-2.017 -2.438 11.213
1.029 -2.796 8.435
3.128 -0.489 5.700
5.456 -4.413 8.517
1.907 2.290 8.435
-1.102 2.966 11.213
1.094 6.931 8.517
6.684 2.654 5.614
3.120 -0.528 11.213
5.457 5.408 8.381
0.000 0.000 4.337
0.000 0.000 12.760
-2.844 -4.994 7.973
-5.713 0.053 10.780
-2.903 4.960 7.973
2.810 -4.974 10.780
5.747 0.034 7.973
2.902 4.921 10.780
-4.990 1.813 4.325
-1.272 -1.621 3.037
-4.129 -3.487 7.155
-5.613 -0.024 7.262
0.925 -5.228 4.325
-7.116 -3.173 11.322
-0.768 1.913 3.037
-0.884 -4.731 7.156
-2.064 0.334 5.651
-2.935 -4.994 10.069
-4.418 -1.443 9.978
2.040 -0.291 3.037
0.743 -1.955 5.651
-3.655 3.131 7.156
-1.476 -1.790 8.525
-4.952 1.870 9.949
-4.160 -3.441 12.749
2.827 -4.849 7.262
0.857 -5.224 9.949
1.322 1.620 5.651
-0.812 2.173 8.525
-0.956 5.319 7.155
-2.036 0.334 11.466
-2.857 5.039 10.069
4.066 3.415 4.325
2.288 -0.383 8.525
0.729 -1.930 11.466
5.084 -1.832 7.155
3.459 -3.105 9.978
-1.354 -1.591 14.074
4.539 1.600 7.156
2.786 4.873 7.262
0.959 4.548 9.978
1.307 1.596 11.466
-0.701 1.968 14.074
-0.900 5.323 12.749
6.306 -4.576 11.322
5.793 -0.045 10.069
4.095 3.354 9.949
2.054 -0.377 14.074
0.810 7.749 11.322
5.060 -1.882 12.749
```

## Properties
- space-group type = R3 (146)
- DFT total energy (eV/atom) = -6.392
- energy relative to the elements, uncorrected (eV/atom) = -1.709

The following is a DFT calculation (PBEsol) of CsMnFeF6 after structural relaxation.

Geometry as POSCAR:
```
CsMnFeF6
1.0
-3.674 3.733 5.260
3.674 -3.733 5.260
3.674 3.733 -5.260
Cs Mn Fe F
2 2 2 12
Cartesian
0.000 1.866 1.375
3.674 1.866 3.886
1.837 1.866 -2.630
1.837 -1.866 2.630
3.674 0.000 0.000
0.000 0.000 5.260
3.674 -1.866 3.311
2.250 -0.355 1.312
5.099 -0.355 1.312
3.674 1.866 0.649
2.250 3.378 -1.312
1.424 -0.355 3.949
2.250 4.087 1.312
1.424 0.355 6.572
0.000 1.866 4.611
-1.424 4.087 3.949
1.424 4.087 3.949
0.000 5.599 1.949
```

## Properties
- space-group type = Imma (74)
- DFT total energy (eV/atom) = -5.876
- energy relative to the elements, uncorrected (eV/atom) = -2.406

The following is a DFT calculation (PBEsol) of RbCuPO4 after structural relaxation.

Geometry as POSCAR:
```
RbCuPO4
1.0
9.274 0.000 0.000
0.000 8.913 0.000
0.000 0.000 4.984
Rb Cu P O
4 4 4 16
Cartesian
0.067 1.530 0.000
4.570 5.987 2.492
4.704 2.927 0.000
9.207 7.383 2.492
1.273 5.661 0.136
3.364 1.204 2.629
5.910 7.709 0.136
8.001 3.252 2.629
1.807 3.853 2.751
2.830 8.310 0.259
6.444 0.604 2.751
7.467 5.060 0.259
0.644 2.943 2.302
1.485 7.569 4.968
1.770 4.056 4.299
1.830 5.221 2.031
2.807 0.764 4.523
2.867 8.513 1.807
3.152 3.113 2.476
3.992 7.399 4.794
5.281 1.514 2.302
6.122 5.800 4.968
6.406 0.400 4.299
6.466 8.149 2.031
7.444 3.693 4.523
7.504 4.857 1.807
7.789 1.344 2.476
8.629 5.971 4.794
```

## Properties
- space-group type = Pna2_1 (33)
- DFT total energy (eV/atom) = -6.355
- energy relative to the elements, uncorrected (eV/atom) = -1.763

The following is a DFT calculation (PBEsol) of SrFeSe2 after structural relaxation.

Geometry as POSCAR:
```
SrFeSe2
1.0
4.907 0.000 0.000
0.000 4.907 0.000
0.000 0.000 3.529
Sr Fe Se
1 1 2
Cartesian
0.000 0.000 0.000
2.454 2.454 0.000
0.000 2.454 1.765
2.454 0.000 1.765
```

## Properties
- space-group type = P4/mmm (123)
- DFT total energy (eV/atom) = -5.084
- energy relative to the elements, uncorrected (eV/atom) = -0.458

The following is a DFT calculation (PBEsol) of Li3SF after structural relaxation.

Geometry as POSCAR:
```
Li3SF
1.0
3.825 0.000 0.000
0.000 3.825 0.000
0.000 0.000 3.825
Li S F
3 1 1
Cartesian
0.000 0.000 1.913
0.000 1.913 0.000
1.913 0.000 0.000
1.913 1.913 1.913
0.000 0.000 0.000
```

## Properties
- space-group type = Pm-3m (221)
- DFT total energy (eV/atom) = -4.382
- energy relative to the elements, uncorrected (eV/atom) = -1.940

The following is a DFT calculation (PBEsol) of Mg2Zn after structural relaxation.

Geometry as POSCAR:
```
Mg2Zn
1.0
3.082 0.000 0.000
0.000 4.763 0.000
-1.497 0.000 7.806
Mg Zn
4 2
Cartesian
0.000 0.000 0.000
0.025 2.382 1.809
0.033 0.000 5.252
1.565 0.000 2.730
0.050 2.382 6.930
1.568 2.382 4.493
```

## Properties
- space-group type = Pm (6)
- ΔE_f (kJ/mol of formula units) = 4
- DFT total energy (eV/atom) = -1.657

The following is a DFT calculation (PBEsol) of KBaTl after structural relaxation.

Geometry as POSCAR:
```
KBaTl
1.0
0.000 4.142 4.142
4.142 0.000 4.142
4.142 4.142 0.000
K Ba Tl
1 1 1
Cartesian
0.000 0.000 0.000
4.142 4.142 4.142
6.213 6.213 6.213
```

## Properties
- space-group type = F-43m (216)
- ΔE_f (kJ/mol of formula units) = -6
- DFT total energy (eV/atom) = -1.991

The following is a DFT calculation (PBEsol) of AsSe3 after structural relaxation.

Geometry as POSCAR:
```
AsSe3
1.0
5.005 0.000 0.000
0.000 5.005 0.000
0.000 0.000 5.005
As Se
1 3
Cartesian
0.000 0.000 0.000
0.000 0.000 2.503
0.000 2.503 0.000
2.503 0.000 0.000
```

## Properties
- space-group type = Pm-3m (221)
- DFT total energy (eV/atom) = -3.485
- energy relative to the elements, uncorrected (eV/atom) = 0.679

The following is a DFT calculation (PBEsol) of Cr2RuRh after structural relaxation.

Geometry as POSCAR:
```
Cr2RuRh
1.0
3.713 0.000 0.000
0.000 3.713 0.000
0.000 0.000 3.594
Cr Ru Rh
2 1 1
Cartesian
0.000 1.856 0.000
1.856 0.000 0.000
0.000 0.000 1.797
1.856 1.856 1.797
```

## Properties
- space-group type = P4/mmm (123)
- ΔE_f (kJ/mol of formula units) = 17
- DFT total energy (eV/atom) = -9.654

no.,size of the total moment (μB/atom)
1,1.097
2,0.281
3,0.001
4,0.000
5,1.022
6,0.145
7,0.843
8,0.000
9,0.000
10,0.244
11,0.000
12,0.000